TiGaSb2: relaxed, PBE.

## Properties
Fermi-level density of states: 0.60 states/eV per atom
V: 94.0 Å³ per cell
formation energy without anion corrections: -0.575 eV/f.u.
space-group type: R-3m, No. 166

Lattice parameters (Å, degrees): 7.7961 7.7961 7.7961 28.28 28.28 28.28
Fractional positions:
1 Ti 0.0000 0.0000 0.0000
2 Ga 0.5000 0.5000 0.5000
3 Sb 0.2550 0.2550 0.2550
4 Sb 0.7450 0.7450 0.7450